Record 1
Here is crystalline Eu2MgH6 at its relaxed geometry from Alexandria. Energies are from PBEsol.

Summary:
- E (eV/atom) = -5.229

Unit cell a=5.2888 b=5.2888 c=3.9949 alpha=90.00 beta=90.00 gamma=120.00
Space group P-3m1 (No. 164)
Asymmetric unit:
Eu 0.3333 0.6667 0.2597
Mg 0.0000 0.0000 0.0000
H 0.1833 0.3667 0.7589

---

Record 2
Here is crystalline EuMgH4 at its relaxed geometry from Alexandria. Energies are from PBEsol.

Summary:
- DOS(E_F) (states/eV/cell) = 21.58
- E (eV/atom) = -4.668

Unit cell a=3.7837 b=12.6676 c=5.5266 alpha=90.00 beta=90.00 gamma=90.00
Space group Cmc2_1 (No. 36)
Asymmetric unit:
Eu 0.0000 0.1516 0.0000
Mg 0.0000 0.4181 0.0510
H 0.0000 0.0521 0.6222
H 0.0000 0.2956 0.2575
H 0.0000 0.3291 0.7724
H 0.0000 0.4482 0.4144

---

Record 3
Here is crystalline EuH3O3 at its relaxed geometry from Alexandria. Energies are from PBEsol.

Summary:
- DOS(E_F) (states/eV/cell) = 20.46
- E (eV/atom) = -6.865

Unit cell a=6.3171 b=6.3171 c=3.6022 alpha=90.00 beta=90.00 gamma=120.00
Space group P6_3/m (No. 176)
Asymmetric unit:
Eu 0.3333 0.6667 0.2500
H 0.1294 0.2777 0.7500
O 0.0824 0.6934 0.7500

---

Record 4
Here is crystalline EuH3Pd at its relaxed geometry from Alexandria. Energies are from PBEsol.

Summary:
- DOS(E_F) (states/eV/cell) = 11.16
- E (eV/atom) = -5.878

Unit cell a=3.7322 b=3.7322 c=3.7322 alpha=90.00 beta=90.00 gamma=90.00
Space group Pm-3m (No. 221)
Asymmetric unit:
Eu 0.0000 0.0000 0.0000
H 0.0000 0.5000 0.5000
Pd 0.5000 0.5000 0.5000

---

Record 5
Here is crystalline Eu2HfNbO6 at its relaxed geometry from Alexandria. Energies are from PBEsol.

Summary:
- DOS(E_F) (states/eV/cell) = 7.52
- formation energy (no corrections) (eV per atom) = -3.021

Unit cell a=8.1191 b=8.1191 c=8.1191 alpha=90.00 beta=90.00 gamma=90.00
Space group Fm-3m (No. 225)
Asymmetric unit:
Eu 0.2500 0.2500 0.2500
Hf 0.0000 0.0000 0.0000
Nb 0.0000 0.0000 0.5000
O 0.0000 0.0000 0.2513

---

Record 6
Here is crystalline Eu2Hf2O7 at its relaxed geometry from Alexandria. Energies are from PBEsol.

Summary:
- DOS(E_F) (states/eV/cell) = 58.96
- formation energy (no corrections) (eV per atom) = -3.315

Unit cell a=10.5190 b=10.5190 c=10.5190 alpha=90.00 beta=90.00 gamma=90.00
Space group Fd-3m (No. 227, origin choice 2)
Asymmetric unit:
Eu 0.0000 0.0000 0.0000
Hf 0.0000 0.0000 0.5000
O 0.0844 0.3750 0.8750
O 0.1250 0.1250 0.1250

---

Total moment across the listed records, respectively: 14.00; 7.00; 6.00; 6.90; 13.75; 12.00 μB/f.u..